Entry 1:
{
  "formula": "Cs3PmGa2O6",
  "functional": "PBE",
  "state": "relaxed",
  "volume_a3_per_cell": 273.67,
  "raw_formation_energy_ev_per_atom": -1.962,
  "crystal_system": "trigonal",
  "magmom_total_mub_per_atom": 0.00,
  "total_energy_ev_per_atom": -5.5544,
  "spacegroup": "P-3m1 (164)",
  "lattice": [[-1.446, 4.003, -4.709], [-4.559, -2.129, 3.868], [1.228, 6.086, 4.796]],
  "species": ["Cs", "Cs", "Cs", "Pm", "Ga", "Ga", "O", "O", "O", "O", "O", "O"],
  "frac_coords": [[0.333, 0.667, 0.756], [0.667, 0.333, 0.244], [0.000, 0.000, 0.000], [0.000, 0.000, 0.500], [0.667, 0.333, 0.685], [0.333, 0.667, 0.315], [0.660, 0.830, 0.312], [0.170, 0.340, 0.312], [0.170, 0.830, 0.312], [0.830, 0.660, 0.688], [0.340, 0.170, 0.688], [0.830, 0.170, 0.688]]
}

Entry 2:
{
  "formula": "YTlCu2",
  "functional": "PBE",
  "state": "relaxed",
  "volume_a3_per_cell": 80.01,
  "crystal_system": "orthorhombic",
  "magmom_total_mub_per_atom": 0.00,
  "total_energy_ev_per_atom": -4.2843,
  "spacegroup": "Imm2 (44)",
  "lattice": [[5.272, 0.062, 0.024], [1.552, 5.039, -0.024], [-2.996, -3.107, 3.028]],
  "species": ["Cu", "Cu", "Tl", "Y"],
  "frac_coords": [[0.966, 0.966, 0.000], [0.776, 0.276, 0.500], [0.521, 0.521, 0.000], [0.237, 0.737, 0.500]]
}

Entry 3:
{
  "formula": "AgSICl2",
  "functional": "PBE",
  "state": "relaxed",
  "volume_a3_per_cell": 125.99,
  "raw_formation_energy_ev_per_atom": 0.311,
  "crystal_system": "tetragonal",
  "polymorph_energy_ev_per_atom": 0.000,
  "magmom_total_mub_per_atom": 0.00,
  "total_energy_ev_per_atom": -2.1339,
  "spacegroup": "P4/mmm (123)",
  "lattice": [[4.830, 0.000, 0.000], [0.000, 4.830, 0.000], [0.000, 0.000, 5.401]],
  "species": ["I", "S", "Ag", "Cl", "Cl"],
  "frac_coords": [[0.500, 0.500, 0.500], [0.000, 0.000, 0.500], [0.000, 0.000, 0.000], [0.000, 0.500, 0.000], [0.500, 0.000, 0.000]]
}